Version one
Here is an optimized crystal structure of BeZnPt2 from Alexandria via LeMat-Bulk. Energies are from PBEsol.

a b c (Å): 2.809 3.132 5.763
angles (deg): 90.00 90.00 90.00
Element x y z (fractional)
1 Be 0.500 0.500 0.500
2 Pt 0.000 0.000 0.733
3 Pt 0.000 0.000 0.267
4 Zn 0.500 0.500 0.000

Values from the calculation:
Density   15217 kg/m3

=====

Version two
Here is an optimized crystal structure of BeZnPt2 from Alexandria via LeMat-Bulk. Energies are from PBEsol.

a b c (Å): 2.773 4.291 4.761
angles (deg): 106.43 106.93 90.00
Element x y z (fractional)
1 Zn 0.510 0.453 0.020
2 Pt 0.756 0.302 0.511
3 Pt 0.980 0.927 0.960
4 Be 0.254 0.817 0.508

Values from the calculation:
Density   14901 kg/m3

=====

Best to worst by energy: version one, version two.

=====

Version one
Here is an optimized crystal structure of InFePb2 from Alexandria via LeMat-Bulk. Energies are from PBEsol.

a b c (Å): 3.508 3.508 9.067
angles (deg): 78.85 78.85 60.00
Last column: magnetic moment on the atom in μB.
Element x y z (fractional)
1 Pb 0.764 0.764 0.708  -0.05
2 Pb 0.236 0.236 0.292  -0.05
3 Fe 0.500 0.500 0.500  2.36
4 In 0.000 0.000 0.000  0.03

Values from the calculation:
Density   10314 kg/m3

=====

Version two
Here is an optimized crystal structure of InFePb2 from Alexandria via LeMat-Bulk. Energies are from PBEsol.

a b c (Å): 3.450 5.098 5.389
angles (deg): 90.00 90.00 90.00
Last column: magnetic moment on the atom in μB.
Element x y z (fractional)
1 Fe 0.500 0.500 0.000  2.95
2 Pb 0.000 0.000 0.000  -0.02
3 Pb 0.500 0.000 0.500  -0.01
4 In 0.000 0.500 0.500  -0.01

Values from the calculation:
Density   10250 kg/m3

=====

Best to worst by energy: version one, version two.

=====

Version one
Here is an optimized crystal structure of KPt3 from Alexandria via LeMat-Bulk. Energies are from PBEsol.

a b c (Å): 2.696 5.041 5.997
angles (deg): 114.85 102.99 90.00
Element x y z (fractional)
1 Pt 0.500 0.584 0.000
2 Pt 0.780 0.363 0.560
3 Pt 0.220 0.803 0.440
4 K 0.000 0.084 0.000

Values from the calculation:
Density   14470 kg/m3

=====

Version two
Here is an optimized crystal structure of KPt3 from Alexandria via LeMat-Bulk. Energies are from PBEsol.

a b c (Å): 4.444 5.895 7.730
angles (deg): 90.00 90.00 90.00
Element x y z (fractional)
1 Pt 0.500 0.948 0.670
2 Pt 0.500 0.021 0.000
3 Pt 0.500 0.948 0.330
4 Pt 0.000 0.052 0.830
5 Pt 0.000 0.979 0.500
6 Pt 0.000 0.052 0.170
7 K 0.000 0.556 0.000
8 K 0.500 0.444 0.500

Values from the calculation:
Density   10239 kg/m3

=====

Best to worst by energy: version two, version one.

=====

Version one
Here is an optimized crystal structure of ReIr3 from Alexandria via LeMat-Bulk. Energies are from PBEsol.

a b c (Å): 2.729 4.745 5.154
angles (deg): 117.41 105.35 90.00
Element x y z (fractional)
1 Ir 0.500 0.835 0.000
2 Ir 0.748 0.747 0.495
3 Ir 0.252 0.252 0.505
4 Re 0.000 0.333 0.000

Values from the calculation:
Density   22401 kg/m3

=====

Version two
Here is an optimized crystal structure of ReIr3 from Alexandria via LeMat-Bulk. Energies are from PBEsol.

a b c (Å): 2.735 2.735 8.763
angles (deg): 90.00 90.00 120.00
Element x y z (fractional)
1 Ir 0.000 0.000 0.000
2 Ir 0.333 0.667 0.257
3 Ir 0.333 0.667 0.743
4 Re 0.000 0.000 0.500

Values from the calculation:
Density   22311 kg/m3

=====

Best to worst by energy: version two, version one.

=====

Version one
Here is an optimized crystal structure of CaMnTe2 from Alexandria via LeMat-Bulk. Energies are from PBEsol.

a b c (Å): 4.242 4.242 7.399
angles (deg): 73.34 73.34 60.00
Last column: magnetic moment on the atom in μB.
Element x y z (fractional)
1 Te 0.740 0.740 0.779  0.08
2 Te 0.260 0.260 0.221  0.08
3 Mn 0.000 0.000 0.000  4.25
4 Ca 0.500 0.500 0.500  0.04

Values from the calculation:
Density   5345 kg/m3

=====

Version two
Here is an optimized crystal structure of CaMnTe2 from Alexandria via LeMat-Bulk. Energies are from PBEsol.

a b c (Å): 4.119 4.525 6.875
angles (deg): 90.00 107.43 90.00
Last column: magnetic moment on the atom in μB.
Element x y z (fractional)
1 Te 0.551 0.500 0.101  0.06
2 Te 0.291 0.000 0.583  0.06
3 Mn 0.188 0.500 0.376  4.17
4 Ca 0.969 0.000 0.938  0.05

Values from the calculation:
Density   4757 kg/m3

=====

Best to worst by energy: version one, version two.

=====

Version one
Here is an optimized crystal structure of Sc2SiSe from Alexandria via LeMat-Bulk. Energies are from PBEsol.

a b c (Å): 3.317 3.317 8.672
angles (deg): 78.97 78.97 60.00
Last column: magnetic moment on the atom in μB.
Element x y z (fractional)
1 Se 0.504 0.504 0.488  -0.01
2 Sc 0.761 0.761 0.716  0.20
3 Sc 0.992 0.992 0.024  0.15
4 Si 0.243 0.243 0.272  -0.01

Values from the calculation:
Density   4057 kg/m3

=====

Version two
Here is an optimized crystal structure of Sc2SiSe from Alexandria via LeMat-Bulk. Energies are from PBEsol.

a b c (Å): 3.282 4.879 4.879
angles (deg): 93.54 100.19 100.19
Element x y z (fractional)
1 Se 0.500 0.500 0.500
2 Sc 0.000 0.000 0.500
3 Sc 0.000 0.500 0.000
4 Si 0.500 0.000 0.000

Values from the calculation:
Density   4342 kg/m3

=====

Best to worst by energy: version two, version one.